Material: ZnCo3Br
Method: DFT, PBE-GGA
State: relaxed

Values from the calculation:
- Uncorrected formation energy: 1.09 eV per atom
- Offset from the most stable computed form: 0 meV per atom

Unit cell a=4.3054 b=4.3054 c=4.3054 alpha=90.00 beta=90.00 gamma=90.00
Closest atoms and distances in Å follow each position.
Space group Pm-3m (No. 221)
One atom of each set of equivalent atoms:
Zn 0.0000 0.0000 0.0000 (multiplicity 1)  12 Co 3.04
Co 0.0000 0.5000 0.5000 (multiplicity 3)  2 Br 2.15
Br 0.5000 0.5000 0.5000 (multiplicity 1)  6 Co 2.15